(1)
# Si2W

A PBEsol-optimized structure of Si2W (meta-GGA SCAN, Alexandria via LeMat-Bulk).

## Properties
ΔE to the lowest computed polymorph = 0.074 eV per atom

a = 4.5748 Å, b = 4.5748 Å, c = 6.6027 Å
α = 90.00°, β = 90.00°, γ = 120.00°
With the nearest neighbours (Å) after each atom.
Space group P6_222 (No. 180)
One atom of each set of equivalent atoms:
Si  0.1638  0.3275  0.0000 (multiplicity 6)  5 Si 2.55-2.66, 5 W 2.57-2.66
W  0.0000  0.5000  0.6667 (multiplicity 3)  10 Si 2.57-2.66



(2)
# Si4W3

A PBEsol-optimized structure of Si4W3 (meta-GGA SCAN, Alexandria via LeMat-Bulk).

a = 3.1713 Å, b = 3.1713 Å, c = 19.0128 Å
α = 90.00°, β = 90.00°, γ = 90.00°
With the nearest neighbours (Å) after each atom.
Space group I4/mmm (No. 139)
One atom of each set of equivalent atoms:
Si  0.0000  0.0000  0.0689 (multiplicity 4)  5 W 2.59-2.60, 5 Si 2.62
Si  0.0000  0.0000  0.3595 (multiplicity 4)  5 W 2.56-2.67, 4 Si 2.62
W  0.0000  0.0000  0.2051 (multiplicity 4)  5 Si 2.56-2.59, 4 W 2.82
W  0.0000  0.0000  0.5000 (multiplicity 2)  10 Si 2.60-2.67



(3)
# YSiW2

A PBEsol-optimized structure of YSiW2 (meta-GGA SCAN, Alexandria via LeMat-Bulk).

a = 3.5338 Å, b = 4.2903 Å, c = 4.5274 Å
α = 90.00°, β = 90.00°, γ = 90.00°
With the nearest neighbours (Å) after each atom.
Space group Pmmm (No. 47)
One atom of each set of equivalent atoms:
Y  0.0000  0.0000  0.0000 (multiplicity 1)  4 Si 2.78, 4 W 2.87
Si  0.5000  0.5000  0.0000 (multiplicity 1)  4 Y 2.78, 4 W 2.87
W  0.0000  0.5000  0.5000 (multiplicity 1)  4 W 2.78, 4 Si 2.87
W  0.5000  0.0000  0.5000 (multiplicity 1)  4 W 2.78, 4 Y 2.87



(4)
# Y2Si2W

A PBEsol-optimized structure of Y2Si2W (meta-GGA SCAN, Alexandria via LeMat-Bulk).

a = 3.4121 Å, b = 3.4121 Å, c = 17.7090 Å
α = 90.00°, β = 90.00°, γ = 90.00°
With the nearest neighbours (Å) after each atom.
Space group I4/mmm (No. 139)
One atom of each set of equivalent atoms:
Y  0.0000  0.0000  0.1057 (multiplicity 4)  4 W 3.05, 4 Si 3.07, 4 Y 3.41
Si  0.0000  0.5000  0.2500 (multiplicity 4)  4 Si 2.41
W  0.0000  0.0000  0.5000 (multiplicity 2)  8 Y 3.05, 4 W 3.41



(5)
# YSi2W2

A PBEsol-optimized structure of YSi2W2 (meta-GGA SCAN, Alexandria via LeMat-Bulk).

a = 4.5553 Å, b = 4.5553 Å, c = 8.8818 Å
α = 90.00°, β = 90.00°, γ = 90.00°
With the nearest neighbours (Å) after each atom.
Space group I4/mmm (No. 139)
One atom of each set of equivalent atoms:
Y  0.0000  0.0000  0.0000 (multiplicity 2)  8 Si 3.18, 10 W 3.25-3.43
Si  0.0000  0.5000  0.2500 (multiplicity 4)  4 W 2.50
W  0.0000  0.0000  0.3664 (multiplicity 4)  1 W 2.37, 4 Si 2.50



(6)
# YSiW

A PBEsol-optimized structure of YSiW (meta-GGA SCAN, Alexandria via LeMat-Bulk).

a = 3.3179 Å, b = 3.3179 Å, c = 10.2065 Å
α = 90.00°, β = 90.00°, γ = 90.00°
With the nearest neighbours (Å) after each atom.
Space group I4mm (No. 107)
One atom of each set of equivalent atoms:
Y  0.0000  0.0000  0.0000 (multiplicity 2)  5 Si 3.03-3.13, 5 W 3.05-3.12, 4 Y 3.32
Si  0.0000  0.0000  0.7030 (multiplicity 2)  4 W 2.54
W  0.0000  0.0000  0.2988 (multiplicity 2)  4 Si 2.54



(7)
# ZnSi2W

A PBEsol-optimized structure of ZnSi2W (meta-GGA SCAN, Alexandria via LeMat-Bulk).

a = 5.4346 Å, b = 8.4897 Å, c = 2.8060 Å
α = 90.00°, β = 116.98°, γ = 90.00°
With the nearest neighbours (Å) after each atom.
Space group C2/m (No. 12)
One atom of each set of equivalent atoms:
Zn  0.0000  0.0000  0.0000 (multiplicity 2)  4 Si 2.52, 2 W 2.72, 2 Zn 2.81
Si  0.2500  0.2500  0.0000 (multiplicity 4)  2 W 2.52, 2 Zn 2.52, 4 Si 2.72-2.81
W  0.0000  0.5000  0.0000 (multiplicity 2)  4 Si 2.52, 2 Zn 2.72, 2 W 2.81



(8)
# Zn2Si2W

A PBEsol-optimized structure of Zn2Si2W (meta-GGA SCAN, Alexandria via LeMat-Bulk).

a = 3.4005 Å, b = 3.4005 Å, c = 12.9805 Å
α = 90.00°, β = 90.00°, γ = 90.00°
With the nearest neighbours (Å) after each atom.
Space group I4/mmm (No. 139)
One atom of each set of equivalent atoms:
Zn  0.0000  0.0000  0.0944 (multiplicity 4)  1 Zn 2.45, 4 Si 2.64, 4 W 2.70
Si  0.0000  0.5000  0.2500 (multiplicity 4)  4 Si 2.40, 4 Zn 2.64
W  0.0000  0.0000  0.5000 (multiplicity 2)  8 Zn 2.70



(9)
# ZnSiW2

A PBEsol-optimized structure of ZnSiW2 (meta-GGA SCAN, Alexandria via LeMat-Bulk).

## Properties
ΔE to the lowest computed polymorph = 0.221 eV per atom

a = 2.6618 Å, b = 2.6618 Å, c = 8.5250 Å
α = 90.00°, β = 90.00°, γ = 90.00°
With the nearest neighbours (Å) after each atom.
Space group P4mm (No. 99)
One atom of each set of equivalent atoms:
Zn  0.0000  0.0000  0.0000 (multiplicity 1)  4 Zn 2.66, 4 W 2.79, 4 Si 2.93
Si  0.5000  0.5000  0.2636 (multiplicity 1)  4 Si 2.66, 4 W 2.72, 4 Zn 2.93
W  0.0000  0.0000  0.4944 (multiplicity 1)  8 W 2.66-2.94, 4 Si 2.72
W  0.5000  0.5000  0.7590 (multiplicity 1)  8 W 2.66-2.94, 4 Zn 2.79



(10)
# ZnSiW4

A PBEsol-optimized structure of ZnSiW4 (meta-GGA SCAN, Alexandria via LeMat-Bulk).

a = 7.3627 Å, b = 7.3627 Å, c = 7.3627 Å
α = 90.00°, β = 90.00°, γ = 90.00°
With the nearest neighbours (Å) after each atom.
Space group F-43m (No. 216)
One atom of each set of equivalent atoms:
Zn  0.0000  0.0000  0.0000 (multiplicity 4)  12 W 3.05, 4 Si 3.19
Si  0.2500  0.2500  0.2500 (multiplicity 4)  12 W 3.05, 4 Zn 3.19
W  0.1259  0.1259  0.6259 (multiplicity 16)  6 W 2.58-2.62



(11)
# ZnSiW

A PBEsol-optimized structure of ZnSiW (meta-GGA SCAN, Alexandria via LeMat-Bulk).

## Properties
ΔE to the lowest computed polymorph = 0.294 eV per atom

a = 5.7361 Å, b = 5.7361 Å, c = 5.7361 Å
α = 90.00°, β = 90.00°, γ = 90.00°
With the nearest neighbours (Å) after each atom.
Space group F-43m (No. 216)
One atom of each set of equivalent atoms:
Zn  0.0000  0.0000  0.0000 (multiplicity 4)  4 Si 2.48
Si  0.2500  0.2500  0.2500 (multiplicity 4)  4 Zn 2.48, 4 W 2.48
W  0.0000  0.0000  0.5000 (multiplicity 4)  4 Si 2.48



(12)
# ZnSiW2

A PBEsol-optimized structure of ZnSiW2 (meta-GGA SCAN, Alexandria via LeMat-Bulk).

## Properties
ΔE to the lowest computed polymorph = 0.000 eV per atom

a = 3.2960 Å, b = 4.1946 Å, c = 8.2477 Å
α = 90.00°, β = 90.00°, γ = 90.00°
With the nearest neighbours (Å) after each atom.
Space group Imm2 (No. 44)
One atom of each set of equivalent atoms:
Zn  0.0000  0.0000  0.0000 (multiplicity 2)  2 Si 2.58, 8 W 2.67-2.87
Si  0.0000  0.5000  0.7410 (multiplicity 2)  2 Zn 2.58, 6 W 2.59-2.67
W  0.0000  0.0000  0.4830 (multiplicity 2)  2 Si 2.59, 2 W 2.67, 4 Zn 2.67
W  0.0000  0.5000  0.2376 (multiplicity 2)  4 Si 2.67, 4 W 2.67-2.91, 4 Zn 2.72-2.87



(13)
# ZnSi2W

A PBEsol-optimized structure of ZnSi2W (meta-GGA SCAN, Alexandria via LeMat-Bulk).

a = 9.3274 Å, b = 2.7113 Å, c = 4.4637 Å
α = 90.00°, β = 93.40°, γ = 90.00°
With the nearest neighbours (Å) after each atom.
Space group Cm (No. 8)
One atom of each set of equivalent atoms:
Zn  0.0000  0.0000  0.0000 (multiplicity 2)  5 Si 2.52-2.63, 2 Zn 2.71, 1 W 2.79
Si  0.0207  0.5000  0.5066 (multiplicity 2)  4 Zn 2.60-2.63, 3 Si 2.62-2.71, 3 W 2.67-2.71
Si  0.2543  0.5000  0.2084 (multiplicity 2)  1 Zn 2.52, 4 W 2.60-2.62, 3 Si 2.62-2.71
W  0.2578  0.0000  0.7115 (multiplicity 2)  7 Si 2.60-2.71, 2 W 2.71, 3 Zn 2.79-2.87



(14)
# ZnSiW2

A PBEsol-optimized structure of ZnSiW2 (meta-GGA SCAN, Alexandria via LeMat-Bulk).

## Properties
ΔE to the lowest computed polymorph = 0.082 eV per atom

a = 6.1280 Å, b = 6.1280 Å, c = 6.1280 Å
α = 90.00°, β = 90.00°, γ = 90.00°
With the nearest neighbours (Å) after each atom.
Space group F-43m (No. 216)
One atom of each set of equivalent atoms:
Zn  0.0000  0.0000  0.0000 (multiplicity 4)  4 W 2.65, 4 Si 2.65
Si  0.2500  0.2500  0.2500 (multiplicity 4)  4 W 2.65, 4 Zn 2.65
W  0.0000  0.0000  0.5000 (multiplicity 4)  4 Si 2.65, 4 W 2.65
W  0.2500  0.2500  0.7500 (multiplicity 4)  4 W 2.65, 4 Zn 2.65



(15)
# ZnSi2W

A PBEsol-optimized structure of ZnSi2W (meta-GGA SCAN, Alexandria via LeMat-Bulk).

a = 3.3133 Å, b = 4.0621 Å, c = 8.1325 Å
α = 90.00°, β = 90.00°, γ = 90.00°
With the nearest neighbours (Å) after each atom.
Space group Imm2 (No. 44)
One atom of each set of equivalent atoms:
Zn  0.0000  0.0000  0.0000 (multiplicity 2)  6 Si 2.56-2.62, 4 W 2.73-2.78
Si  0.0000  0.0000  0.4864 (multiplicity 2)  4 Si 2.60-2.89, 4 W 2.61-2.89, 4 Zn 2.62
Si  0.0000  0.5000  0.7394 (multiplicity 2)  2 Zn 2.56, 2 Si 2.60, 4 W 2.62
W  0.0000  0.5000  0.2339 (multiplicity 2)  8 Si 2.61-2.89, 4 Zn 2.73-2.78



(16)
# ZnSiW

A PBEsol-optimized structure of ZnSiW (meta-GGA SCAN, Alexandria via LeMat-Bulk).

## Properties
ΔE to the lowest computed polymorph = 0.000 eV per atom

a = 3.1465 Å, b = 3.1465 Å, c = 8.5140 Å
α = 90.00°, β = 90.00°, γ = 90.00°
With the nearest neighbours (Å) after each atom.
Space group I4mm (No. 107)
One atom of each set of equivalent atoms:
Zn  0.0000  0.0000  0.0000 (multiplicity 2)  5 Si 2.63-2.85, 5 W 2.70-2.72
Si  0.0000  0.0000  0.6657 (multiplicity 2)  4 W 2.58, 5 Zn 2.63-2.85
W  0.0000  0.0000  0.3194 (multiplicity 2)  4 Si 2.58, 5 Zn 2.70-2.72



(17)
# Zr2SiW

A PBEsol-optimized structure of Zr2SiW (meta-GGA SCAN, Alexandria via LeMat-Bulk).

a = 2.9256 Å, b = 2.9256 Å, c = 29.0805 Å
α = 90.00°, β = 90.00°, γ = 120.00°
With the nearest neighbours (Å) after each atom.
Space group R-3m (No. 166, hexagonal axes)
One atom of each set of equivalent atoms:
Zr  0.0000  0.0000  0.2456 (multiplicity 6)  3 Si 2.85, 6 Zr 2.93, 3 W 3.06
Si  0.0000  0.0000  0.5000 (multiplicity 3)  6 Zr 2.85, 6 Si 2.93
W  0.0000  0.0000  0.0000 (multiplicity 3)  6 W 2.93, 6 Zr 3.06



(18)
# ZrSiW3

A PBEsol-optimized structure of ZrSiW3 (meta-GGA SCAN, Alexandria via LeMat-Bulk).

a = 4.7093 Å, b = 4.7093 Å, c = 4.7093 Å
α = 90.00°, β = 90.00°, γ = 90.00°
With the nearest neighbours (Å) after each atom.
Space group Pm-3m (No. 221)
One atom of each set of equivalent atoms:
Zr  0.0000  0.0000  0.0000 (multiplicity 1)  6 W 2.35
Si  0.5000  0.5000  0.5000 (multiplicity 1)  12 W 3.33
W  0.0000  0.0000  0.5000 (multiplicity 3)  2 Zr 2.35



(19)
# ZrSi2W

A PBEsol-optimized structure of ZrSi2W (meta-GGA SCAN, Alexandria via LeMat-Bulk).

a = 3.9271 Å, b = 3.3573 Å, c = 9.3506 Å
α = 90.00°, β = 90.00°, γ = 90.00°
With the nearest neighbours (Å) after each atom.
Space group Amm2 (No. 38)
One atom of each set of equivalent atoms:
Zr  0.0000  0.0000  0.0000 (multiplicity 2)  7 Si 2.56-2.70
Si  0.0000  0.0000  0.7260 (multiplicity 2)  2 Si 2.43, 3 Zr 2.56-2.70, 4 W 2.65
Si  0.5000  0.0000  0.5732 (multiplicity 2)  2 Si 2.43, 3 W 2.62-2.66, 4 Zr 2.67
W  0.5000  0.0000  0.2888 (multiplicity 2)  7 Si 2.62-2.66



(20)
# Zr2SiW

A PBEsol-optimized structure of Zr2SiW (meta-GGA SCAN, Alexandria via LeMat-Bulk).

a = 4.2281 Å, b = 4.2281 Å, c = 7.8164 Å
α = 90.00°, β = 90.00°, γ = 90.00°
With the nearest neighbours (Å) after each atom.
Space group I-4m2 (No. 119)
One atom of each set of equivalent atoms:
Zr  0.0000  0.0000  0.0000 (multiplicity 2)  4 Zr 2.88, 4 W 2.88, 4 Si 2.99
Zr  0.0000  0.5000  0.2500 (multiplicity 2)  4 Zr 2.88, 4 Si 2.88, 4 W 2.99
Si  0.0000  0.0000  0.5000 (multiplicity 2)  8 Zr 2.88-2.99, 4 W 2.88
W  0.0000  0.5000  0.7500 (multiplicity 2)  8 Zr 2.88-2.99, 4 Si 2.88



The following D(E_F) values (in states/eV/f.u.) correspond, in order, to the records above: 0.0; 1.1; 2.3; 5.4; 4.4; 2.7; 1.5; 3.4; 2.7; 2.6; 2.9; 1.8; 1.5; 1.0; 1.7; 1.7; 2.9; 4.5; 1.9; 3.0.
The following formation energy (no corrections) values (in meV per atom) correspond, in order, to the records above: -208; -244; 386; 318; 48; -7; 394; 822; 460; 816; 601; 239; 267; 321; 287; 307; 179; 2986; -305; -12.